Entry 1:
## TmHf3Pd12 (PBE)

Data for a geometry-optimized TmHf3Pd12 structure.

Properties
Formation energy   -0.908 eV per atom

abc: 4.0278 4.0278 16.1397
angles: 90.00 90.00 90.00
Closest atoms and distances in Å follow each position.
Atoms (fractional coordinates):
Tm1 0.0000 0.0000 0.0000  12 Pd 2.85-2.92
Hf1 0.0000 0.0000 0.2496  12 Pd 2.78-2.88
Hf2 0.0000 0.0000 0.5000  12 Pd 2.83-2.85
Hf3 0.0000 0.0000 0.7504  12 Pd 2.78-2.88
Pd1 0.5000 0.5000 0.0000  4 Tm 2.85, 8 Pd 2.92
Pd2 0.5000 0.5000 0.2540  8 Pd 2.83, 4 Hf 2.85
Pd3 0.5000 0.5000 0.5000  8 Pd 2.83, 4 Hf 2.85
Pd4 0.5000 0.5000 0.7460  8 Pd 2.83, 4 Hf 2.85
Pd5 0.5000 0.0000 0.1308  2 Hf 2.78, 8 Pd 2.83-2.92, 2 Tm 2.92
Pd6 0.5000 0.0000 0.3768  8 Pd 2.83-2.85, 4 Hf 2.83-2.88
Pd7 0.5000 0.0000 0.6232  8 Pd 2.83-2.85, 4 Hf 2.83-2.88
Pd8 0.5000 0.0000 0.8692  2 Hf 2.78, 8 Pd 2.83-2.92, 2 Tm 2.92
Pd9 0.0000 0.5000 0.1308  2 Hf 2.78, 8 Pd 2.83-2.92, 2 Tm 2.92
Pd10 0.0000 0.5000 0.3768  8 Pd 2.83-2.85, 4 Hf 2.83-2.88
Pd11 0.0000 0.5000 0.6232  8 Pd 2.83-2.85, 4 Hf 2.83-2.88
Pd12 0.0000 0.5000 0.8692  2 Hf 2.78, 8 Pd 2.83-2.92, 2 Tm 2.92

Entry 2:
## Ga3Cu4 (PBE)

Data for a geometry-optimized Ga3Cu4 structure.

Properties
Formation energy   0.081 eV per atom
Energy relative to the lowest polymorph listed for this composition   113 meV/atom

abc: 2.6340 9.7307 9.7308
angles: 120.00 90.00 90.00
Closest atoms and distances in Å follow each position.
Atoms (fractional coordinates):
Ga1 0.7500 0.8997 0.5478  5 Cu 2.55-2.64, 2 Ga 2.63
Ga2 0.7500 0.6481 0.1003  5 Cu 2.55-2.64, 2 Ga 2.63
Ga3 0.7500 0.4522 0.3519  5 Cu 2.55-2.64, 2 Ga 2.63
Ga4 0.2500 0.1003 0.4522  5 Cu 2.55-2.64, 2 Ga 2.63
Ga5 0.2500 0.3519 0.8997  5 Cu 2.55-2.64, 2 Ga 2.63
Ga6 0.2500 0.5478 0.6481  5 Cu 2.55-2.64, 2 Ga 2.63
Cu1 0.7500 0.3333 0.6667  6 Ga 2.55, 2 Cu 2.63
Cu2 0.2500 0.6667 0.3333  6 Ga 2.55, 2 Cu 2.63
Cu3 0.7500 0.8087 0.7621  6 Cu 2.50-2.63, 3 Ga 2.57-2.64
Cu4 0.7500 0.9534 0.1913  6 Cu 2.50-2.63, 3 Ga 2.57-2.64
Cu5 0.7500 0.2379 0.0466  6 Cu 2.50-2.63, 3 Ga 2.57-2.64
Cu6 0.2500 0.1913 0.2379  6 Cu 2.50-2.63, 3 Ga 2.57-2.64
Cu7 0.2500 0.0466 0.8087  6 Cu 2.50-2.63, 3 Ga 2.57-2.64
Cu8 0.2500 0.7621 0.9534  6 Cu 2.50-2.63, 3 Ga 2.57-2.64

Entry 3:
## LiCuS2N (PBE)

Data for a geometry-optimized LiCuS2N structure.

Properties
Formation energy (no corrections)   1.1784 eV/atom
Energy relative to the lowest polymorph listed for this composition   561 meV/atom

abc: 4.4515 3.4766 4.4515
angles: 90.00 90.00 90.00
Closest atoms and distances in Å follow each position.
Atoms (fractional coordinates):
S1 0.0000 0.0000 0.5000  2 Li 2.23
S2 0.5000 0.0000 0.0000  2 Li 2.23
Li1 0.0000 0.0000 0.0000  2 N 1.74
Cu1 0.5000 0.5000 0.5000  8 S 2.82, 4 N 3.15
N1 0.0000 0.5000 0.0000  2 Li 1.74

Entry 4:
## Cs2TlGa (PBE)

Data for a geometry-optimized Cs2TlGa structure.

Properties
Formation energy   0.063 eV per atom
Energy relative to the lowest polymorph listed for this composition   85 meV/atom

abc: 10.4273 10.4273 10.4273
angles: 93.67 93.67 150.68
Closest atoms and distances in Å follow each position.
Atoms (fractional coordinates):
Cs1 0.6999 0.3750 0.8249  2 Ga 3.78, 2 Tl 4.22
Cs2 0.5501 0.8750 0.1751  2 Ga 3.78, 2 Tl 4.22
Cs3 0.1250 0.3001 0.6751  2 Ga 3.78, 2 Tl 4.22
Cs4 0.6250 0.4499 0.3249  2 Ga 3.78, 2 Tl 4.22
Tl1 0.0000 0.0000 0.0000  2 Ga 2.64
Tl2 0.2500 0.7500 0.5000  2 Ga 2.64
Ga1 0.5000 0.5000 0.0000  2 Tl 2.64
Ga2 0.7500 0.2500 0.5000  2 Tl 2.64

> Which formula does entry 4 have?

Cs2TlGa